A plane-wave DFT calculation with GGA-PBE was carried out for a relaxed structure of BaI3N.

abc: 6.863 6.863 6.863
angles: 90.00 90.00 90.00
Atoms (fractional coordinates):
1 Ba 0.000 0.000 0.000
2 I 0.000 0.000 0.500
3 I 0.000 0.500 0.000
4 I 0.500 0.000 0.000
5 N 0.500 0.500 0.500

Properties
N(E_F): 1.4860 states/eV/atom
Density: 2.7 Mg/m³
Energy relative to the elements, uncorrected: 0.218 eV per atom
SG: Pm-3m
Total DFT energy (no corrections): -13.81 eV per formula unit
Total moment: 4.00 μB per formula unit